[1]
Compound: Ba2NbMo3O12
Source: Alexandria
Functional: GGA+U
Structure: optimized geometry

a b c (Å): 7.377 7.377 7.377
angles (deg): 59.19 59.19 59.19
Fractional coordinates of all 18 atoms:
Ba1 0.109 0.109 0.109
Ba2 0.891 0.891 0.891
Nb1 0.500 0.500 0.500
Mo1 0.000 0.500 0.500
Mo2 0.500 0.000 0.500
Mo3 0.500 0.500 0.000
O1 0.171 0.171 0.584
O2 0.171 0.584 0.171
O3 0.176 0.570 0.570
O4 0.416 0.829 0.829
O5 0.430 0.430 0.824
O6 0.430 0.824 0.430
O7 0.570 0.176 0.570
O8 0.570 0.570 0.176
O9 0.584 0.171 0.171
O10 0.824 0.430 0.430
O11 0.829 0.416 0.829
O12 0.829 0.829 0.416

Results
The value obtained for the calculated total energy is -132.5 eV/cell.

[2]
Compound: BaNbMoO6
Source: Alexandria
Functional: GGA+U
Structure: optimized geometry

a b c (Å): 5.195 5.195 10.027
angles (deg): 90.00 90.00 90.00
Fractional coordinates of all 18 atoms:
Ba1 0.000 0.000 0.000
Ba2 0.500 0.500 0.500
Nb1 0.000 0.000 0.344
Nb2 0.500 0.500 0.844
Mo1 0.000 0.000 0.666
Mo2 0.500 0.500 0.166
O1 0.162 0.162 0.505
O2 0.248 0.248 0.795
O3 0.248 0.752 0.712
O4 0.252 0.252 0.212
O5 0.252 0.748 0.295
O6 0.338 0.662 0.005
O7 0.662 0.338 0.005
O8 0.748 0.252 0.295
O9 0.748 0.748 0.212
O10 0.752 0.248 0.712
O11 0.752 0.752 0.795
O12 0.838 0.838 0.505

Results
Its density of states at the Fermi level is 0.0 states/eV per cell. The value obtained for the calculated total energy is -137.6 eV/cell.